A plane-wave DFT calculation with PBE was carried out for crystalline LaPrSnPb at its relaxed geometry.

The value obtained for the offset from the most stable computed form is 0 meV/atom. The calculation puts the energy at -5.043 eV/atom. For the energy relative to the elements, the calculation gives -2.8 eV/f.u.

```
data_LaPrSnPb
_cell_length_a 4.504
_cell_length_b 4.777
_cell_length_c 12.021
_cell_angle_alpha 90.00
_cell_angle_beta 90.00
_cell_angle_gamma 90.00
_symmetry_space_group_name_H-M 'A m m 2'
_symmetry_Int_Tables_number 38
loop_
_symmetry_equiv_pos_as_xyz
'x,y,z'
'-x,-y,z'
'-x,y,z'
'x,-y,z'
'x,y+1/2,z+1/2'
'-x,-y+1/2,z+1/2'
'-x,y+1/2,z+1/2'
'x,-y+1/2,z+1/2'
loop_
_atom_site_label
_atom_site_fract_x
_atom_site_fract_y
_atom_site_fract_z
_atom_site_occupancy
La1 0.000 0.000 0.000 1
Pr1 0.500 0.000 0.731 1
Sn1 0.500 0.000 0.456 1
Pb1 0.000 0.000 0.274 1
```